A) LiBeZnIn PBE optimized geometry; space-group type = F-43m
1.0
0.000 3.129 3.129
3.129 0.000 3.129
3.129 3.129 0.000
Li Be Zn In
1 1 1 1
Cartesian
0.000 0.000 0.000
1.564 1.564 1.564
4.693 4.693 4.693
3.129 3.129 3.129



B) LiBeZnIn PBE optimized geometry; space-group type = F-43m
1.0
0.000 3.082 3.082
3.082 0.000 3.082
3.082 3.082 0.000
Li Be Zn In
1 1 1 1
Cartesian
0.000 0.000 0.000
3.082 3.082 3.082
4.622 4.622 4.622
1.541 1.541 1.541



Which of them is the most stable, and which is the least stable? B) and A), in that order.



A) LuBeIn PBE optimized geometry; spin magnetization = 0.0 μB per formula unit; space-group type = F-43m
1.0
0.000 3.345 3.345
3.345 0.000 3.345
3.345 3.345 0.000
Lu Be In
1 1 1
Cartesian
0.000 0.000 0.000
5.017 5.017 5.017
1.672 1.672 1.672



B) LuBeIn PBE optimized geometry; spin magnetization = 0.0 μB per formula unit; space-group type = F-43m
1.0
0.000 3.259 3.259
3.259 0.000 3.259
3.259 3.259 0.000
Lu Be In
1 1 1
Cartesian
0.000 0.000 0.000
3.259 3.259 3.259
4.889 4.889 4.889



Which of them is the most stable, and which is the least stable? B) and A), in that order.



A) LuBeInNi PBE optimized geometry; spin magnetization = 0.0 μB per formula unit; space-group type = F-43m
1.0
0.000 3.220 3.220
3.220 0.000 3.220
3.220 3.220 0.000
Lu Be In Ni
1 1 1 1
Cartesian
0.000 0.000 0.000
1.610 1.610 1.610
4.830 4.830 4.830
3.220 3.220 3.220



B) LuBeInNi PBE optimized geometry; spin magnetization = 0.0 μB per formula unit; space-group type = F-43m
1.0
0.000 3.234 3.234
3.234 0.000 3.234
3.234 3.234 0.000
Lu Be In Ni
1 1 1 1
Cartesian
0.000 0.000 0.000
3.234 3.234 3.234
1.617 1.617 1.617
4.851 4.851 4.851



C) LuBeInNi PBE optimized geometry; spin magnetization = 0.0 μB per formula unit; space-group type = F-43m
1.0
0.000 3.192 3.192
3.192 0.000 3.192
3.192 3.192 0.000
Lu Be In Ni
1 1 1 1
Cartesian
0.000 0.000 0.000
1.596 1.596 1.596
3.192 3.192 3.192
4.787 4.787 4.787



Which of them is the most stable, and which is the least stable? C) and B), in that order.



A) BeInNiMo PBE optimized geometry; spin magnetization = 1.6 μB per formula unit; space-group type = F-43m
1.0
0.000 3.070 3.070
3.070 0.000 3.070
3.070 3.070 0.000
Be In Ni Mo
1 1 1 1
Cartesian
0.000 0.000 0.000
3.070 3.070 3.070
4.605 4.605 4.605
1.535 1.535 1.535



B) BeInNiMo PBE optimized geometry; spin magnetization = 2.0 μB per formula unit; space-group type = F-43m
1.0
0.000 3.041 3.041
3.041 0.000 3.041
3.041 3.041 0.000
Be In Ni Mo
1 1 1 1
Cartesian
0.000 0.000 0.000
1.520 1.520 1.520
3.041 3.041 3.041
4.561 4.561 4.561



Which of them is the most stable, and which is the least stable? B) and A), in that order.



A) ScBeInNi PBE optimized geometry; spin magnetization = 0.0 μB per formula unit; space-group type = F-43m
1.0
0.000 3.136 3.136
3.136 0.000 3.136
3.136 3.136 0.000
Sc Be In Ni
1 1 1 1
Cartesian
0.000 0.000 0.000
4.704 4.704 4.704
1.568 1.568 1.568
3.136 3.136 3.136



B) ScBeInNi PBE optimized geometry; spin magnetization = 0.0 μB per formula unit; space-group type = F-43m
1.0
0.000 3.148 3.148
3.148 0.000 3.148
3.148 3.148 0.000
Sc Be In Ni
1 1 1 1
Cartesian
0.000 0.000 0.000
3.148 3.148 3.148
1.574 1.574 1.574
4.722 4.722 4.722



Which of them is the most stable, and which is the least stable? A) and B), in that order.



A) TaBeInNi PBE optimized geometry; spin magnetization = 0.0 μB per formula unit; space-group type = F-43m
1.0
0.000 3.067 3.067
3.067 0.000 3.067
3.067 3.067 0.000
Ta Be In Ni
1 1 1 1
Cartesian
0.000 0.000 0.000
1.534 1.534 1.534
3.067 3.067 3.067
4.601 4.601 4.601



B) TaBeInNi PBE optimized geometry; spin magnetization = 0.0 μB per formula unit; space-group type = F-43m
1.0
0.000 3.110 3.110
3.110 0.000 3.110
3.110 3.110 0.000
Ta Be In Ni
1 1 1 1
Cartesian
0.000 0.000 0.000
4.664 4.664 4.664
1.555 1.555 1.555
3.110 3.110 3.110



Which of them is the most stable, and which is the least stable? A) and B), in that order.